Computed, not measured: a geometry-optimized NaLaTlAu structure at the PBE level of DFT.

It has space group F-43m (No. 216), with a = 7.5151 Å, b = 7.5151 Å, c = 7.5151 Å, α = 90.00°, β = 90.00° and γ = 90.00°. The inequivalent atoms are Na at (0.0000, 0.0000, 0.0000), La at (0.0000, 0.0000, 0.5000), Tl at (0.2500, 0.2500, 0.7500) and Au at (0.2500, 0.2500, 0.2500).

The density of states at the Fermi level is 0.725 states/eV per atom. Its energy of formation is -412.8 meV/atom.